Entry 1:
{"formula": "AlSiRu2", "functional": "GGA-PBE", "state": "optimized geometry", "crystal_system": "orthorhombic", "raw_formation_energy_ev_per_atom": 0.1092, "relative_energy_mev_per_atom": 824, "lattice_angstrom": [[1.4590, -2.3347, 0.0000], [1.4590, 2.3347, 0.0000], [0.0000, 0.0000, 8.4054]], "species": ["Al", "Si", "Ru", "Ru"], "fractional_positions": [[0.0000, 0.0000, 0.0000], [0.5000, 0.5000, 0.2660], [0.0000, 0.0000, 0.4873], [0.5000, 0.5000, 0.7620]]}

---

Entry 2:
{"formula": "TeAs2", "functional": "GGA-PBE", "state": "optimized geometry", "crystal_system": "hexagonal", "raw_formation_energy_ev_per_atom": 0.4241, "lattice_angstrom": [[4.8889, 0.0000, 0.0000], [-2.4444, 4.2339, 0.0000], [0.0000, 0.0000, 3.2307]], "species": ["Te", "As", "As"], "fractional_positions": [[0.0000, 0.0000, 0.0000], [0.3333, 0.6667, 0.5000], [0.6667, 0.3333, 0.5000]]}

---

Entry 3:
{"formula": "Tm4Ni2Ir", "functional": "GGA-PBE", "state": "optimized geometry", "delta_e_f_ev_per_atom": -0.435, "crystal_system": "tetragonal", "relative_energy_mev_per_atom": 105, "lattice_angstrom": [[-4.3198, 4.3198, 4.2523], [4.3198, -4.3198, 4.2523], [4.3198, 4.3198, -4.2523]], "species": ["Tm", "Tm", "Tm", "Tm", "Tm", "Tm", "Tm", "Tm", "Ni", "Ni", "Ni", "Ni", "Ir", "Ir"], "fractional_positions": [[0.1926, 0.2522, 0.5596], [0.1926, 0.6331, 0.9404], [0.2522, 0.1926, 0.0596], [0.3669, 0.8074, 0.5596], [0.6331, 0.1926, 0.4404], [0.7478, 0.8074, 0.9404], [0.8074, 0.3669, 0.0596], [0.8074, 0.7478, 0.4404], [0.0000, 0.5000, 0.5000], [0.5000, 0.0000, 0.0000], [0.5000, 0.5000, 0.0000], [0.5000, 0.5000, 0.5000], [0.1250, 0.8750, 0.2500], [0.8750, 0.1250, 0.7500]]}

---

Entry 4:
{"formula": "Ho4Cd3Ru", "functional": "GGA-PBE", "state": "optimized geometry", "delta_e_f_ev_per_atom": -0.361, "crystal_system": "tetragonal", "lattice_angstrom": [[3.4634, 0.0000, 0.0000], [0.0000, 3.4634, 0.0000], [0.0000, 0.0000, 16.1828]], "species": ["Ho", "Ho", "Ho", "Ho", "Cd", "Cd", "Cd", "Ru"], "fractional_positions": [[0.0000, 0.0000, 0.1010], [0.0000, 0.0000, 0.3675], [0.0000, 0.0000, 0.6325], [0.0000, 0.0000, 0.8990], [0.5000, 0.5000, 0.2389], [0.5000, 0.5000, 0.5000], [0.5000, 0.5000, 0.7611], [0.5000, 0.5000, 0.0000]]}

---

Entry 5:
{"formula": "YEr2Sc", "functional": "GGA-PBE", "state": "optimized geometry", "delta_e_f_ev_per_atom": 0.049, "crystal_system": "trigonal", "relative_energy_mev_per_atom": 32, "lattice_angstrom": [[1.7370, 1.0029, 11.2446], [-1.7370, 1.0029, 11.2446], [0.0000, -2.0057, 11.2446]], "species": ["Y", "Er", "Er", "Sc"], "fractional_positions": [[0.0000, 0.0000, 0.0000], [0.2466, 0.2466, 0.2466], [0.7534, 0.7534, 0.7534], [0.5000, 0.5000, 0.5000]]}

---

Entry 6:
{"formula": "Y2Zn2Ga", "functional": "GGA-PBE", "state": "optimized geometry", "delta_e_f_ev_per_atom": -0.229, "crystal_system": "tetragonal", "lattice_angstrom": [[-1.7822, 1.7822, 9.0445], [1.7822, -1.7822, 9.0445], [1.7822, 1.7822, -9.0445]], "species": ["Y", "Y", "Zn", "Zn", "Ga"], "fractional_positions": [[0.1014, 0.1014, 0.0000], [0.8986, 0.8986, 0.0000], [0.2500, 0.7500, 0.5000], [0.7500, 0.2500, 0.5000], [0.5000, 0.5000, 0.0000]]}

---

Entry 7:
{"formula": "AcTePt4", "functional": "GGA-PBE", "state": "optimized geometry", "crystal_system": "cubic", "raw_formation_energy_ev_per_atom": -0.5790, "lattice_angstrom": [[0.0000, 3.9453, 3.9453], [3.9453, 0.0000, 3.9453], [3.9453, 3.9453, 0.0000]], "species": ["Ac", "Te", "Pt", "Pt", "Pt", "Pt"], "fractional_positions": [[0.0000, 0.0000, 0.0000], [0.2500, 0.2500, 0.2500], [0.1260, 0.6247, 0.6247], [0.6247, 0.1260, 0.6247], [0.6247, 0.6247, 0.1260], [0.6247, 0.6247, 0.6247]]}

---

Entry 8:
{"formula": "Pm5As4P", "functional": "GGA-PBE", "state": "optimized geometry", "delta_e_f_ev_per_atom": -1.532, "crystal_system": "tetragonal", "lattice_angstrom": [[-4.7158, 4.7158, 2.9827], [4.7158, -4.7158, 2.9827], [4.7158, 4.7158, -2.9827]], "species": ["Pm", "Pm", "Pm", "Pm", "Pm", "As", "As", "As", "As", "P"], "fractional_positions": [[0.0000, 0.0000, 0.0000], [0.2040, 0.5986, 0.8027], [0.4014, 0.2040, 0.6054], [0.5986, 0.7960, 0.3946], [0.7960, 0.4014, 0.1973], [0.0990, 0.3002, 0.3991], [0.3002, 0.9010, 0.2012], [0.6998, 0.0990, 0.7988], [0.9010, 0.6998, 0.6009], [0.5000, 0.5000, 0.0000]]}

---

M_tot readings, ordered: 0.000; 0.000; 0.000; 0.034; 0.000; 0.000; 0.000; 0.000 μB/atom